Below is an optimized crystal structure of LiMn2Pt2, with properties calculated at the GGA-PBE level.

Computed properties:
As for the total energy: -65.44 eV/cell. The formation energy is -0.0767 eV/atom.

a b c (Å): 7.382 7.382 2.637
angles (deg): 90.00 90.00 90.00
Positions (direct):
1 Li 0.000 0.000 0.000
2 Li 0.500 0.500 0.000
3 Mn 0.100 0.400 0.000
4 Mn 0.400 0.900 0.000
5 Mn 0.600 0.100 0.000
6 Mn 0.900 0.600 0.000
7 Pt 0.192 0.692 0.500
8 Pt 0.308 0.192 0.500
9 Pt 0.692 0.808 0.500
10 Pt 0.808 0.308 0.500



Below is an optimized crystal structure of La6PrY2Th, with properties calculated at the GGA-PBE level.

Computed properties:
As for the total energy: -52.79 eV/cell. The formation energy is 0.1900 eV/atom.

a b c (Å): 6.690 6.690 9.164
angles (deg): 101.39 101.39 64.52
Positions (direct):
1 La 0.100 0.544 0.200
2 La 0.142 0.142 0.438
3 La 0.456 0.900 0.800
4 La 0.544 0.100 0.200
5 La 0.858 0.858 0.562
6 La 0.900 0.456 0.800
7 Pr 0.000 0.000 0.000
8 Y 0.411 0.411 0.835
9 Y 0.589 0.589 0.165
10 Th 0.500 0.500 0.500



Below is an optimized crystal structure of Fe2TeCl, with properties calculated at the GGA-PBE level.

Computed properties:
As for the total energy: -20.02 eV/cell. The value obtained for the uncorrected formation energy is 474.6 meV/atom.

a b c (Å): 3.470 3.470 7.976
angles (deg): 90.00 90.00 125.72
Positions (direct):
1 Fe 0.000 0.000 0.240
2 Fe 0.000 0.000 0.760
3 Te 0.500 0.500 0.500
4 Cl 0.500 0.500 0.000